A relaxed TlReAs crystal, computed with PBE.

Geometry as extended XYZ:
```
3
Lattice="4.739 0.000 0.000 -2.369 4.104 0.000 0.000 0.000 2.893" Properties=species:S:1:pos:R:3 pbc="T T T"
Tl 0.000 0.000 0.000
Re 0.000 2.736 1.446
As 2.369 1.368 1.446
```

* SG: P-6m2, No. 187
* total moment: 0.0 μB per cell
* volume: 56 Å³ per cell
* energy relative to the lowest polymorph listed for this composition: 482 meV/atom
* DOS at the Fermi energy: 2.5 states/eV per cell
* DFT formation energy: 0.874 eV per atom
* electronic total energy: -5.614 eV per atom

A relaxed CdCu7 crystal, computed with PBE.

Geometry as extended XYZ:
```
8
Lattice="0.000 3.738 3.738 3.738 0.000 3.738 3.738 3.738 0.000" Properties=species:S:1:pos:R:3 pbc="T T T"
Cd 0.000 0.000 0.000
Cu 1.869 1.869 0.000
Cu 1.869 0.000 1.869
Cu 3.738 1.869 1.869
Cu 0.000 1.869 1.869
Cu 1.869 3.738 1.869
Cu 1.869 1.869 3.738
Cu 3.738 3.738 3.738
```

* SG: Fm-3m, No. 225
* total moment: 0.0 μB per cell
* volume: 104 Å³ per cell
* DOS at the Fermi energy: 2.0 states/eV per cell
* DFT formation energy: 0.057 eV per atom
* electronic total energy: -3.642 eV per atom

A relaxed CsLiCaH crystal, computed with PBE.

Geometry as extended XYZ:
```
4
Lattice="3.874 0.000 0.000 0.001 4.890 0.000 1.919 2.351 7.539" Properties=species:S:1:pos:R:3 pbc="T T T"
Cs 0.000 0.000 0.000
Li 3.865 5.088 4.749
Ca 1.926 2.499 3.605
H 3.864 2.090 4.848
```

* SG: P1, No. 1
* total moment: 0.1 μB per cell
* volume: 143 Å³ per cell
* energy relative to the lowest polymorph listed for this composition: 0 meV/atom
* DOS at the Fermi energy: 2.4 states/eV per cell
* electronic total energy: -2.027 eV per atom

A relaxed PuZrPaSn crystal, computed with PBE.

Geometry as extended XYZ:
```
4
Lattice="0.000 3.616 3.616 3.616 0.000 3.616 3.616 3.616 0.000" Properties=species:S:1:pos:R:3 pbc="T T T"
Pu 0.000 0.000 0.000
Zr 3.616 3.616 3.616
Pa 1.808 1.808 1.808
Sn 5.424 5.424 5.424
```

* SG: F-43m, No. 216
* total moment: 6.2 μB per cell
* volume: 95 Å³ per cell
* DOS at the Fermi energy: 6.4 states/eV per cell
* DFT formation energy: -0.106 eV per atom
* electronic total energy: -9.201 eV per atom